Record 1
AcCeCuPd | PBE | optimized geometry

Cell lengths 7.3818, 7.3818, 7.3818 Å; angles 90.00, 90.00, 90.00 degrees
Closest atoms and distances in Å follow each position.
Positions (direct):
Ac (0.0000, 0.0000, 0.0000)  4 Cu 3.20, 4 Pd 3.20
Ac (0.0000, 0.5000, 0.5000)  4 Cu 3.20, 4 Pd 3.20
Ac (0.5000, 0.0000, 0.5000)  4 Cu 3.20, 4 Pd 3.20
Ac (0.5000, 0.5000, 0.0000)  4 Cu 3.20, 4 Pd 3.20
Ce (0.0000, 0.0000, 0.5000)  4 Pd 3.20, 4 Cu 3.20
Ce (0.0000, 0.5000, 0.0000)  4 Pd 3.20, 4 Cu 3.20
Ce (0.5000, 0.0000, 0.0000)  4 Pd 3.20, 4 Cu 3.20
Ce (0.5000, 0.5000, 0.5000)  4 Pd 3.20, 4 Cu 3.20
Cu (0.2500, 0.2500, 0.2500)  4 Ac 3.20, 4 Ce 3.20
Cu (0.2500, 0.7500, 0.7500)  4 Ac 3.20, 4 Ce 3.20
Cu (0.7500, 0.2500, 0.7500)  4 Ac 3.20, 4 Ce 3.20
Cu (0.7500, 0.7500, 0.2500)  4 Ac 3.20, 4 Ce 3.20
Pd (0.2500, 0.2500, 0.7500)  4 Ac 3.20, 4 Ce 3.20
Pd (0.2500, 0.7500, 0.2500)  4 Ac 3.20, 4 Ce 3.20
Pd (0.7500, 0.2500, 0.2500)  4 Ac 3.20, 4 Ce 3.20
Pd (0.7500, 0.7500, 0.7500)  4 Ac 3.20, 4 Ce 3.20

**Density of states at the Fermi level**: 35.2 states/eV per cell
**ΔE_f**: -7.26 kcal/mol of atoms

---

Record 2
AcCeCuRh | PBE | optimized geometry

Cell lengths 7.2689, 7.2689, 7.2689 Å; angles 90.00, 90.00, 90.00 degrees
Closest atoms and distances in Å follow each position.
Positions (direct):
Ac (0.0000, 0.0000, 0.0000)  4 Rh 3.15, 4 Cu 3.15
Ac (0.0000, 0.5000, 0.5000)  4 Rh 3.15, 4 Cu 3.15
Ac (0.5000, 0.0000, 0.5000)  4 Rh 3.15, 4 Cu 3.15
Ac (0.5000, 0.5000, 0.0000)  4 Rh 3.15, 4 Cu 3.15
Ce (0.0000, 0.0000, 0.5000)  4 Cu 3.15, 4 Rh 3.15
Ce (0.0000, 0.5000, 0.0000)  4 Cu 3.15, 4 Rh 3.15
Ce (0.5000, 0.0000, 0.0000)  4 Cu 3.15, 4 Rh 3.15
Ce (0.5000, 0.5000, 0.5000)  4 Cu 3.15, 4 Rh 3.15
Cu (0.2500, 0.2500, 0.2500)  4 Ac 3.15, 4 Ce 3.15
Cu (0.2500, 0.7500, 0.7500)  4 Ac 3.15, 4 Ce 3.15
Cu (0.7500, 0.2500, 0.7500)  4 Ac 3.15, 4 Ce 3.15
Cu (0.7500, 0.7500, 0.2500)  4 Ac 3.15, 4 Ce 3.15
Rh (0.2500, 0.2500, 0.7500)  4 Ac 3.15, 4 Ce 3.15
Rh (0.2500, 0.7500, 0.2500)  4 Ac 3.15, 4 Ce 3.15
Rh (0.7500, 0.2500, 0.2500)  4 Ac 3.15, 4 Ce 3.15
Rh (0.7500, 0.7500, 0.7500)  4 Ac 3.15, 4 Ce 3.15

**Density of states at the Fermi level**: 32.8 states/eV per cell
**ΔE_f**: -6.95 kcal/mol of atoms

---

Record 3
AcCeCuRu | PBE | optimized geometry

Cell lengths 7.2154, 7.2154, 7.2154 Å; angles 90.00, 90.00, 90.00 degrees
Closest atoms and distances in Å follow each position.
Positions (direct):
Ac (0.0000, 0.0000, 0.0000)  4 Ru 3.12, 4 Cu 3.12
Ac (0.0000, 0.5000, 0.5000)  4 Ru 3.12, 4 Cu 3.12
Ac (0.5000, 0.0000, 0.5000)  4 Ru 3.12, 4 Cu 3.12
Ac (0.5000, 0.5000, 0.0000)  4 Ru 3.12, 4 Cu 3.12
Ce (0.0000, 0.0000, 0.5000)  4 Ru 3.12, 4 Cu 3.12
Ce (0.0000, 0.5000, 0.0000)  4 Ru 3.12, 4 Cu 3.12
Ce (0.5000, 0.0000, 0.0000)  4 Ru 3.12, 4 Cu 3.12
Ce (0.5000, 0.5000, 0.5000)  4 Ru 3.12, 4 Cu 3.12
Cu (0.2500, 0.2500, 0.7500)  4 Ac 3.12, 4 Ce 3.12
Cu (0.2500, 0.7500, 0.2500)  4 Ac 3.12, 4 Ce 3.12
Cu (0.7500, 0.2500, 0.2500)  4 Ac 3.12, 4 Ce 3.12
Cu (0.7500, 0.7500, 0.7500)  4 Ac 3.12, 4 Ce 3.12
Ru (0.2500, 0.2500, 0.2500)  4 Ac 3.12, 4 Ce 3.12
Ru (0.2500, 0.7500, 0.7500)  4 Ce 3.12, 4 Ac 3.12
Ru (0.7500, 0.2500, 0.7500)  4 Ce 3.12, 4 Ac 3.12
Ru (0.7500, 0.7500, 0.2500)  4 Ce 3.12, 4 Ac 3.12

**Density of states at the Fermi level**: 26.8 states/eV per cell
**ΔE_f**: -1.64 kcal/mol of atoms

---

Record 4
Ac2CeCuS5 | PBE | optimized geometry

Cell lengths 8.7197, 8.7197, 12.5087 Å; angles 90.00, 90.00, 152.88 degrees
Closest atoms and distances in Å follow each position.
Positions (direct):
Ac (0.1152, 0.8848, 0.5000)  8 S 3.01-3.26
Ac (0.1216, 0.8784, 0.1509)  8 S 3.04-3.29
Ac (0.8784, 0.1216, 0.6509)  8 S 3.04-3.29
Ac (0.8848, 0.1152, 0.0000)  8 S 3.01-3.26
Ce (0.1787, 0.8213, 0.8322)  6 S 2.74-2.86
Ce (0.8213, 0.1787, 0.3322)  6 S 2.74-2.86
Cu (0.4502, 0.5498, 0.2273)  4 S 2.31-2.39
Cu (0.5498, 0.4502, 0.7273)  4 S 2.31-2.39
S (0.0179, 0.9821, 0.8120)  2 Cu 2.37
S (0.2999, 0.7001, 0.4892)  2 Ce 2.86, 3 Ac 3.14-3.17
S (0.3151, 0.6849, 0.1733)  1 Cu 2.39
S (0.3439, 0.6561, 0.8260)  1 Ce 2.80, 4 Ac 3.05-3.07
S (0.4924, 0.5076, 0.5600)  1 Cu 2.31
S (0.5076, 0.4924, 0.0600)  1 Cu 2.31
S (0.6561, 0.3439, 0.3260)  1 Ce 2.80, 4 Ac 3.05-3.07
S (0.6849, 0.3151, 0.6733)  1 Cu 2.39
S (0.7001, 0.2999, 0.9892)  2 Ce 2.86, 3 Ac 3.14-3.17
S (0.9821, 0.0179, 0.3120)  2 Cu 2.37

**Formation energy without anion corrections**: -16.34 eV per formula unit
**Density of states at the Fermi level**: 11.0 states/eV per cell

---

Record 5
AcCeCuSb | PBE | optimized geometry

Cell lengths 7.7169, 7.7169, 7.7169 Å; angles 90.00, 90.00, 90.00 degrees
Closest atoms and distances in Å follow each position.
Positions (direct):
Ac (0.0000, 0.0000, 0.0000)  4 Sb 3.34, 4 Cu 3.34
Ac (0.0000, 0.5000, 0.5000)  4 Sb 3.34, 4 Cu 3.34
Ac (0.5000, 0.0000, 0.5000)  4 Sb 3.34, 4 Cu 3.34
Ac (0.5000, 0.5000, 0.0000)  4 Sb 3.34, 4 Cu 3.34
Ce (0.0000, 0.0000, 0.5000)  4 Cu 3.34, 4 Sb 3.34
Ce (0.0000, 0.5000, 0.0000)  4 Cu 3.34, 4 Sb 3.34
Ce (0.5000, 0.0000, 0.0000)  4 Cu 3.34, 4 Sb 3.34
Ce (0.5000, 0.5000, 0.5000)  4 Cu 3.34, 4 Sb 3.34
Cu (0.2500, 0.2500, 0.7500)  4 Ac 3.34, 4 Ce 3.34
Cu (0.2500, 0.7500, 0.2500)  4 Ac 3.34, 4 Ce 3.34
Cu (0.7500, 0.2500, 0.2500)  4 Ac 3.34, 4 Ce 3.34
Cu (0.7500, 0.7500, 0.7500)  4 Ac 3.34, 4 Ce 3.34
Sb (0.2500, 0.2500, 0.2500)  4 Ce 3.34, 4 Ac 3.34
Sb (0.2500, 0.7500, 0.7500)  4 Ac 3.34, 4 Ce 3.34
Sb (0.7500, 0.2500, 0.7500)  4 Ac 3.34, 4 Ce 3.34
Sb (0.7500, 0.7500, 0.2500)  4 Ac 3.34, 4 Ce 3.34

**Formation energy without anion corrections**: -1.54 eV per formula unit
**Density of states at the Fermi level**: 46.4 states/eV per cell

---

Record 6
Ac2CeCuSe5 | PBE | optimized geometry

Cell lengths 9.1460, 9.1460, 12.9589 Å; angles 90.00, 90.00, 153.14 degrees
Closest atoms and distances in Å follow each position.
Positions (direct):
Ac (0.1169, 0.8831, 0.5000)  8 Se 3.13-3.40
Ac (0.1176, 0.8824, 0.1496)  8 Se 3.15-3.47
Ac (0.8824, 0.1176, 0.6496)  8 Se 3.15-3.47
Ac (0.8831, 0.1169, 0.0000)  8 Se 3.13-3.40
Ce (0.1789, 0.8211, 0.8293)  6 Se 2.86-2.99
Ce (0.8211, 0.1789, 0.3293)  6 Se 2.86-2.99
Cu (0.4469, 0.5531, 0.2264)  4 Se 2.44-2.52
Cu (0.5531, 0.4469, 0.7264)  4 Se 2.44-2.52
Se (0.0187, 0.9813, 0.8147)  2 Cu 2.49
Se (0.3016, 0.6984, 0.4891)  2 Ce 2.99, 3 Ac 3.29-3.30
Se (0.3120, 0.6880, 0.1683)  1 Cu 2.52
Se (0.3448, 0.6552, 0.8244)  1 Ce 2.95, 4 Ac 3.18-3.19
Se (0.4941, 0.5059, 0.5563)  1 Cu 2.44
Se (0.5059, 0.4941, 0.0563)  1 Cu 2.44
Se (0.6552, 0.3448, 0.3244)  1 Ce 2.95, 4 Ac 3.18-3.19
Se (0.6880, 0.3120, 0.6683)  1 Cu 2.52
Se (0.6984, 0.3016, 0.9891)  2 Ce 2.99, 3 Ac 3.29-3.30
Se (0.9813, 0.0187, 0.3147)  2 Cu 2.49

**Formation energy without anion corrections**: -15.09 eV per formula unit
**Density of states at the Fermi level**: 11.3 states/eV per cell

---

Record 7
AcCeCuSe4 | PBE | optimized geometry

Cell lengths 7.0496, 6.2135, 8.5627 Å; angles 90.00, 107.31, 90.00 degrees
Closest atoms and distances in Å follow each position.
Positions (direct):
Ac (0.2414, 0.2500, 0.4343)  8 Se 3.05-3.31
Ac (0.7586, 0.7500, 0.5657)  8 Se 3.05-3.31
Ce (0.2435, 0.2500, 0.9398)  6 Se 2.95-3.10
Ce (0.7565, 0.7500, 0.0602)  6 Se 2.95-3.10
Cu (0.2525, 0.7500, 0.1829)  4 Se 2.38-2.41
Cu (0.7475, 0.2500, 0.8171)  4 Se 2.38-2.41
Se (0.0725, 0.7500, 0.3812)  1 Cu 2.40
Se (0.0726, 0.7500, 0.8995)  1 Cu 2.38
Se (0.4832, 0.5111, 0.7592)  1 Cu 2.41
Se (0.4832, 0.9889, 0.7592)  1 Cu 2.41
Se (0.5168, 0.0111, 0.2408)  1 Cu 2.41
Se (0.5168, 0.4889, 0.2408)  1 Cu 2.41
Se (0.9274, 0.2500, 0.1005)  1 Cu 2.38
Se (0.9275, 0.2500, 0.6188)  1 Cu 2.40

**Formation energy without anion corrections**: -10.08 eV per formula unit
**Density of states at the Fermi level**: 14.8 states/eV per cell

---

Record 8
AcCeCu2Si2 | PBE | optimized geometry

Cell lengths 4.2214, 4.2214, 8.3329 Å; angles 90.00, 90.00, 120.00 degrees
Closest atoms and distances in Å follow each position.
Positions (direct):
Ac (0.0000, 0.0000, 0.0000)  6 Cu 3.32, 6 Si 3.34
Ce (0.0000, 0.0000, 0.5000)  6 Si 3.08, 6 Cu 3.10
Cu (0.3333, 0.6667, 0.7289)  3 Si 2.44
Cu (0.6667, 0.3333, 0.2711)  3 Si 2.44
Si (0.3333, 0.6667, 0.2747)  3 Cu 2.44
Si (0.6667, 0.3333, 0.7253)  3 Cu 2.44

**Formation energy without anion corrections**: -3.32 eV per formula unit
**Density of states at the Fermi level**: 6.1 states/eV per cell